Here is a relaxed structure of Be16Nb2H from Alexandria via LeMat-Bulk. Energies are from PBE.

The structure in POSCAR format:
```
Be16Nb2H
1.0
-3.0929 -2.6387 3.7909
-3.6857 -2.1393 -3.5691
2.4446 -4.9638 -0.5337
Be Nb H
16 2 1
direct
0.7048 0.0051 0.3050
0.0051 0.3050 0.7048
0.3050 0.7048 0.0051
0.0051 0.7048 0.3050
0.7048 0.3050 0.0051
0.3050 0.0051 0.7048
0.3477 0.8442 0.3477
0.8442 0.3477 0.3477
0.3477 0.3477 0.8442
0.6559 0.1655 0.6559
0.1655 0.6559 0.6559
0.6559 0.6559 0.1655
0.0025 0.5059 0.0025
0.5059 0.0025 0.0025
0.0025 0.0025 0.5059
0.0930 0.0930 0.0930
0.6679 0.6679 0.6679
0.3410 0.3410 0.3410
0.8402 0.8402 0.8402
```

The calculation puts the size of the total moment at 0.0 μB/f.u. The total energy is -4.485 eV/atom.

Here is a relaxed structure of NbTc3Cl from Alexandria via LeMat-Bulk. Energies are from PBE.

The structure in POSCAR format:
```
NbTc3Cl
1.0
4.9204 0.0000 0.0000
0.0000 4.9204 0.0000
0.0000 0.0000 4.9204
Nb Tc Cl
1 3 1
direct
0.0000 0.0000 0.0000
0.0000 0.5000 0.0000
0.0000 0.0000 0.5000
0.5000 0.0000 0.0000
0.5000 0.5000 0.5000
```

The calculation puts the size of the total moment at 7.1 μB/f.u. The total energy is -6.617 eV/atom. Its energy above the most stable polymorph in this dataset is 1058.8 meV per atom. Its uncorrected formation energy is 1.99 eV per atom.

Here is a relaxed structure of Hf2SbAsPt from Alexandria via LeMat-Bulk. Energies are from PBE.

The structure in POSCAR format:
```
Hf2SbAsPt
1.0
-2.2383 4.0715 -1.5715
-0.0008 -1.8444 -4.7776
-4.3643 -2.0878 0.8067
Sb As Hf Pt
1 1 2 1
direct
0.0000 0.5000 0.0000
0.0000 0.0000 0.0000
0.0000 0.0000 0.5000
0.5000 0.0000 0.0000
0.5000 0.5000 0.5000
```

The calculation puts the size of the total moment at 0.0 μB/f.u. The total energy is -6.413 eV/atom. Its uncorrected formation energy is 0.53 eV per atom.

Here is a relaxed structure of Tl2HgW from Alexandria via LeMat-Bulk. Energies are from PBE.

The structure in POSCAR format:
```
Tl2HgW
1.0
-0.1588 2.4792 1.6825
-1.9419 -2.1671 0.7316
8.0685 -4.6564 7.6229
Hg Tl W
1 2 1
direct
0.5000 0.5000 0.7500
0.0000 0.0000 0.0314
0.0000 0.0000 0.4686
0.5000 0.5000 0.2500
```

The calculation puts the size of the total moment at 0.0 μB/f.u. The total energy is -3.778 eV/atom. Its energy above the most stable polymorph in this dataset is 3.1 meV per atom. Its formation energy is 719 meV/atom.

Here is a relaxed structure of RbErHgCl6 from Alexandria via LeMat-Bulk. Energies are from PBE.

The structure in POSCAR format:
```
RbErHgCl6
1.0
-4.9903 -4.3481 -2.2795
6.1072 0.4071 -3.3973
5.3655 -10.5515 8.3808
Rb Er Hg Cl
2 2 2 12
direct
0.0000 0.0000 0.0000
0.0000 0.0000 0.5000
0.6667 0.3333 0.2500
0.3333 0.6667 0.7500
0.3333 0.6667 0.2500
0.6667 0.3333 0.7500
0.6280 0.6183 0.1440
0.9904 0.3720 0.1440
0.3720 0.9904 0.6440
0.0096 0.6280 0.8560
0.3817 0.3720 0.3560
0.9904 0.6183 0.3560
0.6183 0.9904 0.8560
0.6280 0.0096 0.3560
0.0096 0.3817 0.6440
0.3817 0.0096 0.1440
0.6183 0.6280 0.6440
0.3720 0.3817 0.8560
```

The calculation puts the size of the total moment at 0.0 μB/f.u. The total energy is -3.546 eV/atom. Its uncorrected formation energy is -1.67 eV per atom.

Here is a relaxed structure of Tb2Sm3Dy from Alexandria via LeMat-Bulk. Energies are from PBE.

The structure in POSCAR format:
```
Tb2Sm3Dy
1.0
11.6153 0.0000 0.0000
0.0000 6.2341 -0.2923
0.0000 -2.8702 5.5418
Tb Sm Dy
4 6 2
direct
0.7196 0.1675 0.5009
0.2196 0.4991 0.8325
0.2196 0.8325 0.4991
0.7196 0.5009 0.1675
0.4697 0.1657 0.8328
0.9697 0.1672 0.8343
0.4697 0.4991 0.4991
0.9697 0.5009 0.5009
0.9697 0.8343 0.1672
0.4697 0.8328 0.1657
0.7196 0.8340 0.8340
0.2196 0.1660 0.1660
```

The calculation puts the size of the total moment at 0.0 μB/f.u. The total energy is -4.678 eV/atom. Its energy above the most stable polymorph in this dataset is 0.0 meV per atom. Its formation energy is -8 meV/atom.